No. 1
A plane-wave DFT calculation with PBE-GGA was carried out for crystalline Sr2Pd2Ru at its relaxed geometry.

Geometry as extended XYZ:
```
10
Lattice="8.554 0.000 0.000 0.000 8.554 0.000 0.000 0.000 3.300" Properties=species:S:1:pos:R:3 pbc="T T T"
Sr 1.526 2.751 0.000
Sr 2.751 7.028 0.000
Sr 5.803 1.526 0.000
Sr 7.028 5.803 0.000
Pd 1.016 5.293 1.650
Pd 3.261 1.016 1.650
Pd 5.293 7.538 1.650
Pd 7.538 3.261 1.650
Ru 0.000 0.000 0.000
Ru 4.277 4.277 0.000
```

Summary:
Offset from the most stable computed form in meV/atom: 442
Space group: P4/mbm (127)

No. 2
A plane-wave DFT calculation with PBE-GGA was carried out for crystalline Ac2LaPmTm at its relaxed geometry.

Geometry as extended XYZ:
```
10
Lattice="6.507 0.000 0.000 0.000 8.861 0.000 0.000 0.000 6.851" Properties=species:S:1:pos:R:3 pbc="T T T"
Ac 1.627 1.837 1.480
Ac 1.627 7.024 1.480
Ac 4.881 1.837 5.371
Ac 4.881 7.024 5.371
La 1.627 4.430 6.290
La 4.881 4.430 0.561
Pm 1.627 0.000 4.714
Pm 4.881 0.000 2.138
Tm 0.000 4.430 3.426
Tm 3.254 4.430 3.426
```

Summary:
Space group: Pmma (51)

No. 3
A plane-wave DFT calculation with PBE-GGA was carried out for crystalline NiAuS2 at its relaxed geometry.

Geometry as extended XYZ:
```
8
Lattice="6.034 0.000 0.000 0.000 3.589 0.000 -2.598 0.000 7.026" Properties=species:S:1:pos:R:3 pbc="T T T"
Ni 0.916 0.897 0.877
Ni 2.520 2.692 6.149
Au 0.331 0.897 5.927
Au 3.106 2.692 1.099
S -0.386 2.692 1.250
S 1.175 2.692 4.419
S 2.262 0.897 2.607
S 3.822 0.897 5.776
```

Summary:
Space group: P2_1/m (11)
Raw formation energy in eV/atom: -0.06

Number 1: total DFT energy (no corrections) -4.22 eV/atom. Number 2: total DFT energy (no corrections) -4.24 eV/atom. Number 3: total DFT energy (no corrections) -4.38 eV/atom.